No. 1
An optimized crystal structure of Mg3Pb. Source: Alexandria, functional GGA-PBEsol.

a = 6.3163 Å, b = 11.3706 Å, c = 5.2964 Å
α = 90.00°, β = 90.00°, γ = 90.00°
Last column: nearest neighbours and their distance in Å.
Space group Cmcm (No. 63)
Symmetry-distinct sites (fractional):
Mg  0.0000  0.0825  0.2500 (multiplicity 4)  2 Pb 3.16, 10 Mg 3.19-3.32
Mg  0.2486  0.1615  0.7500 (multiplicity 8)  8 Mg 3.14-3.33, 4 Pb 3.15-3.35
Pb  0.0000  0.4019  0.7500 (multiplicity 4)  10 Mg 3.15-3.35, 2 Pb 3.46

Output
magnetic moment = 0.000 μB/f.u.
calculated volume = 380.4 Å³/cell
ρ = 4.9 Mg/m³



No. 2
An optimized crystal structure of Mg5Pb. Source: Alexandria, functional GGA-PBEsol.

a = 3.2810 Å, b = 3.2810 Å, c = 13.2048 Å
α = 90.00°, β = 90.00°, γ = 90.00°
Last column: nearest neighbours and their distance in Å.
Space group P4/mmm (No. 123)
Symmetry-distinct sites (fractional):
Mg  0.0000  0.0000  0.0000 (multiplicity 1)  12 Mg 3.17-3.28
Mg  0.0000  0.0000  0.3265 (multiplicity 2)  8 Mg 3.17-3.28, 4 Pb 3.26
Mg  0.5000  0.5000  0.1632 (multiplicity 2)  12 Mg 3.17-3.28
Pb  0.5000  0.5000  0.5000 (multiplicity 1)  8 Mg 3.26, 4 Pb 3.28

Output
magnetic moment = 0.000 μB/f.u.
calculated volume = 142.2 Å³/cell
ρ = 3.8 Mg/m³



No. 3
An optimized crystal structure of Mg4Pb3. Source: Alexandria, functional GGA-PBEsol.

a = 3.7799 Å, b = 3.7799 Å, c = 24.8847 Å
α = 90.00°, β = 90.00°, γ = 90.00°
Last column: nearest neighbours and their distance in Å.
Space group I4/mmm (No. 139)
Symmetry-distinct sites (fractional):
Mg  0.0000  0.0000  0.0678 (multiplicity 4)  5 Mg 3.16-3.38, 5 Pb 3.16-3.30
Mg  0.0000  0.0000  0.3643 (multiplicity 4)  5 Pb 3.12-3.38, 4 Mg 3.16
Pb  0.0000  0.0000  0.2006 (multiplicity 4)  5 Mg 3.12-3.30
Pb  0.0000  0.0000  0.5000 (multiplicity 2)  10 Mg 3.16-3.38

Output
magnetic moment = 0.000 μB/f.u.
calculated volume = 355.5 Å³/cell
ρ = 6.7 Mg/m³



No. 4
An optimized crystal structure of Mg4Pb. Source: Alexandria, functional GGA-PBEsol.

a = 7.2097 Å, b = 7.2097 Å, c = 4.4910 Å
α = 90.00°, β = 90.00°, γ = 90.00°
Last column: nearest neighbours and their distance in Å.
Space group I4/m (No. 87)
Symmetry-distinct sites (fractional):
Mg  0.0993  0.6963  0.0000 (multiplicity 8)  9 Mg 3.17-3.26, 3 Pb 3.22
Pb  0.0000  0.0000  0.5000 (multiplicity 2)  12 Mg 3.22

Output
magnetic moment = 0.000 μB/f.u.
calculated volume = 233.4 Å³/cell
ρ = 4.3 Mg/m³



No. 5
An optimized crystal structure of Mg5Pb. Source: Alexandria, functional GGA-PBEsol.

a = 5.5555 Å, b = 5.5555 Å, c = 5.2539 Å
α = 90.00°, β = 90.00°, γ = 120.00°
Last column: nearest neighbours and their distance in Å.
Space group P-62m (No. 189)
Symmetry-distinct sites (fractional):
Mg  0.0000  0.6584  0.0000 (multiplicity 3)  10 Mg 3.17-3.29, 2 Pb 3.24
Mg  0.3333  0.6667  0.5000 (multiplicity 2)  9 Mg 3.20-3.21, 3 Pb 3.21
Pb  0.0000  0.0000  0.5000 (multiplicity 1)  12 Mg 3.21-3.24

Output
magnetic moment = 0.000 μB/f.u.
calculated volume = 140.4 Å³/cell
ρ = 3.9 Mg/m³



No. 6
An optimized crystal structure of MgPb. Source: Alexandria, functional GGA-PBEsol.

a = 11.3445 Å, b = 3.4706 Å, c = 8.3233 Å
α = 90.00°, β = 109.94°, γ = 90.00°
Last column: nearest neighbours and their distance in Å.
Space group Cm (No. 8)
Symmetry-distinct sites (fractional):
Mg  0.0000  0.0000  0.0000 (multiplicity 2)  7 Pb 3.13-3.23, 4 Mg 3.40-3.47
Mg  0.0687  0.0000  0.5865 (multiplicity 2)  7 Pb 3.09-3.24, 2 Mg 3.46
Mg  0.2018  0.5000  0.3316 (multiplicity 2)  6 Pb 3.09-3.38, 4 Mg 3.40-3.46
Pb  0.2063  0.5000  0.9275 (multiplicity 2)  6 Mg 3.13-3.38, 4 Pb 3.46-3.47
Pb  0.3553  0.0000  0.6630 (multiplicity 2)  7 Mg 3.09-3.23
Pb  0.4160  0.0000  0.2635 (multiplicity 2)  7 Mg 3.09-3.19, 2 Pb 3.46

Output
magnetic moment = 0.000 μB/f.u.
calculated volume = 308.1 Å³/cell
ρ = 7.5 Mg/m³



No. 7
An optimized crystal structure of Mg3Pb. Source: Alexandria, functional GGA-PBEsol.

a = 3.3260 Å, b = 5.2697 Å, c = 5.4492 Å
α = 90.00°, β = 90.00°, γ = 90.00°
Last column: nearest neighbours and their distance in Å.
Space group Pmm2 (No. 25)
Symmetry-distinct sites (fractional):
Mg  0.0000  0.0000  0.0000 (multiplicity 1)  8 Mg 3.16-3.33, 4 Pb 3.24
Mg  0.0000  0.5000  0.3368 (multiplicity 1)  4 Pb 3.18-3.20, 8 Mg 3.21-3.33
Mg  0.5000  0.0000  0.4925 (multiplicity 1)  10 Mg 3.16-3.33, 2 Pb 3.23
Pb  0.5000  0.5000  0.8341 (multiplicity 1)  10 Mg 3.18-3.24, 2 Pb 3.33

Output
magnetic moment = 0.000 μB/f.u.
calculated volume = 95.5 Å³/cell
ρ = 4.9 Mg/m³



No. 8
An optimized crystal structure of Mg5Pb3. Source: Alexandria, functional GGA-PBEsol.

a = 11.5121 Å, b = 11.5121 Å, c = 5.9279 Å
α = 90.00°, β = 90.00°, γ = 90.00°
Last column: nearest neighbours and their distance in Å.
Space group I4/mcm (No. 140)
Symmetry-distinct sites (fractional):
Mg  0.0000  0.5000  0.2500 (multiplicity 4)  2 Mg 2.96, 4 Pb 3.11
Mg  0.0741  0.2325  0.0000 (multiplicity 16)  6 Pb 3.01-3.36, 1 Mg 3.15
Pb  0.0000  0.0000  0.2500 (multiplicity 4)  2 Pb 2.96, 8 Mg 3.18
Pb  0.1678  0.3322  0.5000 (multiplicity 8)  10 Mg 3.01-3.36

Output
magnetic moment = 0.000 μB/f.u.
calculated volume = 785.6 Å³/cell
ρ = 6.3 Mg/m³



No. 9
An optimized crystal structure of MgPb2. Source: Alexandria, functional GGA-PBEsol.

a = 3.5252 Å, b = 4.4084 Å, c = 10.4954 Å
α = 90.00°, β = 90.00°, γ = 90.00°
Last column: nearest neighbours and their distance in Å.
Space group Immm (No. 71)
Symmetry-distinct sites (fractional):
Mg  0.0000  0.0000  0.0000 (multiplicity 2)  10 Pb 3.29-3.57, 2 Mg 3.53
Pb  0.0000  0.0000  0.3397 (multiplicity 4)  5 Mg 3.29-3.57, 7 Pb 3.36-3.53

Output
magnetic moment = 0.000 μB/f.u.
calculated volume = 163.1 Å³/cell
ρ = 8.9 Mg/m³



No. 10
An optimized crystal structure of MgPb2. Source: Alexandria, functional GGA-PBEsol.

a = 7.3287 Å, b = 7.3287 Å, c = 6.0311 Å
α = 90.00°, β = 90.00°, γ = 90.00°
Last column: nearest neighbours and their distance in Å.
Space group I4/mcm (No. 140)
Symmetry-distinct sites (fractional):
Mg  0.0000  0.0000  0.2500 (multiplicity 4)  2 Mg 3.02, 8 Pb 3.14
Pb  0.1589  0.3411  0.0000 (multiplicity 8)  4 Mg 3.14, 1 Pb 3.29

Output
magnetic moment = 0.000 μB/f.u.
calculated volume = 323.9 Å³/cell
ρ = 9.0 Mg/m³



No. 11
An optimized crystal structure of MgPb2. Source: Alexandria, functional GGA-PBEsol.

a = 6.7024 Å, b = 5.0341 Å, c = 9.6541 Å
α = 90.00°, β = 90.00°, γ = 90.00°
Last column: nearest neighbours and their distance in Å.
Space group Pnma (No. 62)
Symmetry-distinct sites (fractional):
Mg  0.1642  0.2500  0.0977 (multiplicity 4)  10 Pb 3.20-3.50
Pb  0.0732  0.2500  0.7724 (multiplicity 4)  5 Mg 3.20-3.50, 7 Pb 3.37-3.55
Pb  0.1640  0.2500  0.4287 (multiplicity 4)  5 Mg 3.20-3.36, 5 Pb 3.37-3.55

Output
magnetic moment = 0.000 μB/f.u.
calculated volume = 325.7 Å³/cell
ρ = 8.9 Mg/m³



No. 12
An optimized crystal structure of Mg3Pb2. Source: Alexandria, functional GGA-PBEsol.

a = 3.4459 Å, b = 3.4459 Å, c = 36.8475 Å
α = 90.00°, β = 90.00°, γ = 120.00°
Last column: nearest neighbours and their distance in Å.
Space group R-3m (No. 166, hexagonal axes)
Symmetry-distinct sites (fractional):
Mg  0.0000  0.0000  0.0000 (multiplicity 3)  6 Pb 3.15, 6 Mg 3.45
Mg  0.0000  0.0000  0.1997 (multiplicity 6)  9 Mg 3.15-3.45, 3 Pb 3.18
Pb  0.0000  0.0000  0.3997 (multiplicity 6)  6 Mg 3.15-3.18, 6 Pb 3.45

Output
magnetic moment = 0.000 μB/f.u.
calculated volume = 378.9 Å³/cell
ρ = 6.4 Mg/m³



No. 13
An optimized crystal structure of Mg3Pb. Source: Alexandria, functional GGA-PBEsol.

a = 3.3355 Å, b = 4.4112 Å, c = 6.4331 Å
α = 90.00°, β = 90.00°, γ = 90.00°
Last column: nearest neighbours and their distance in Å.
Space group Pmmm (No. 47)
Symmetry-distinct sites (fractional):
Mg  0.0000  0.0000  0.0000 (multiplicity 1)  10 Mg 3.17-3.34, 2 Pb 3.22
Mg  0.5000  0.5000  0.2415 (multiplicity 2)  8 Mg 3.11-3.34, 4 Pb 3.23
Pb  0.0000  0.0000  0.5000 (multiplicity 1)  10 Mg 3.22-3.23, 2 Pb 3.34

Output
magnetic moment = 0.000 μB/f.u.
calculated volume = 94.7 Å³/cell
ρ = 4.9 Mg/m³



No. 14
An optimized crystal structure of Mg12Pb17. Source: Alexandria, functional GGA-PBEsol.

a = 11.5552 Å, b = 11.5552 Å, c = 11.5552 Å
α = 90.00°, β = 90.00°, γ = 90.00°
Last column: nearest neighbours and their distance in Å.
Space group I-43m (No. 217)
Symmetry-distinct sites (fractional):
Mg  0.0950  0.0950  0.2857 (multiplicity 24)  3 Mg 3.11-3.12, 7 Pb 3.15-3.40
Pb  0.0000  0.0000  0.0000 (multiplicity 2)  4 Pb 3.28, 12 Mg 3.65
Pb  0.0515  0.3610  0.3610 (multiplicity 24)  5 Mg 3.15-3.33, 7 Pb 3.31-3.53
Pb  0.1641  0.1641  0.8359 (multiplicity 8)  4 Pb 3.28-3.31, 6 Mg 3.40

Output
magnetic moment = 0.000 μB/f.u.
calculated volume = 1542.9 Å³/cell
ρ = 8.2 Mg/m³



No. 15
An optimized crystal structure of Mg2Pb. Source: Alexandria, functional GGA-PBEsol.

a = 6.6092 Å, b = 6.6092 Å, c = 7.1790 Å
α = 90.00°, β = 90.00°, γ = 90.00°
Last column: nearest neighbours and their distance in Å.
Space group I4/mcm (No. 140)
Symmetry-distinct sites (fractional):
Mg  0.1690  0.3310  0.0000 (multiplicity 8)  4 Pb 3.04, 1 Mg 3.16
Pb  0.0000  0.0000  0.2500 (multiplicity 4)  8 Mg 3.04

Output
magnetic moment = 0.000 μB/f.u.
calculated volume = 313.6 Å³/cell
ρ = 5.4 Mg/m³



No. 16
An optimized crystal structure of MgPb2. Source: Alexandria, functional GGA-PBEsol.

a = 4.9813 Å, b = 4.9813 Å, c = 3.5428 Å
α = 90.00°, β = 90.00°, γ = 90.00°
Last column: nearest neighbours and their distance in Å.
Space group P4/mmm (No. 123)
Symmetry-distinct sites (fractional):
Mg  0.0000  0.0000  0.0000 (multiplicity 1)  8 Pb 3.06
Pb  0.0000  0.5000  0.5000 (multiplicity 2)  4 Mg 3.06

Output
magnetic moment = 0.000 μB/f.u.
calculated volume = 87.9 Å³/cell
ρ = 8.3 Mg/m³



No. 17
An optimized crystal structure of MgPb2. Source: Alexandria, functional GGA-PBEsol.

a = 13.7364 Å, b = 13.7364 Å, c = 13.7364 Å
α = 90.00°, β = 90.00°, γ = 90.00°
Last column: nearest neighbours and their distance in Å.
Space group Fd-3m (No. 227, origin choice 2)
Symmetry-distinct sites (fractional):
Mg  0.0354  0.0354  0.2146 (multiplicity 32)  6 Pb 3.03-3.13
Pb  0.0000  0.0000  0.0000 (multiplicity 16)  6 Mg 3.03
Pb  0.0595  0.3750  0.8750 (multiplicity 48)  2 Mg 3.13

Output
magnetic moment = 0.000 μB/f.u.
calculated volume = 2591.9 Å³/cell
ρ = 9.0 Mg/m³



No. 18
An optimized crystal structure of MgPb. Source: Alexandria, functional GGA-PBEsol.

a = 3.4514 Å, b = 3.4514 Å, c = 8.7235 Å
α = 90.00°, β = 90.00°, γ = 90.00°
Last column: nearest neighbours and their distance in Å.
Space group P4/nmm (No. 129, origin choice 2)
Symmetry-distinct sites (fractional):
Mg  0.2500  0.2500  0.1143 (multiplicity 2)  8 Mg 3.15-3.45, 4 Pb 3.21
Pb  0.2500  0.2500  0.6459 (multiplicity 2)  4 Mg 3.21, 8 Pb 3.45-3.53

Output
magnetic moment = 0.000 μB/f.u.
calculated volume = 103.9 Å³/cell
ρ = 7.4 Mg/m³



No. 19
An optimized crystal structure of Mg3Pb. Source: Alexandria, functional GGA-PBEsol.

a = 3.6226 Å, b = 3.6226 Å, c = 7.2655 Å
α = 90.00°, β = 90.00°, γ = 90.00°
Last column: nearest neighbours and their distance in Å.
Space group P4/mmm (No. 123)
Symmetry-distinct sites (fractional):
Mg  0.0000  0.0000  0.0000 (multiplicity 1)  8 Mg 3.09
Mg  0.5000  0.5000  0.2386 (multiplicity 2)  4 Mg 3.09, 4 Pb 3.19
Pb  0.0000  0.0000  0.5000 (multiplicity 1)  8 Mg 3.19

Output
magnetic moment = 0.000 μB/f.u.
calculated volume = 95.3 Å³/cell
ρ = 4.9 Mg/m³



No. 20
An optimized crystal structure of Mg4Pb. Source: Alexandria, functional GGA-PBEsol.

a = 6.7259 Å, b = 6.7259 Å, c = 6.7259 Å
α = 90.00°, β = 90.00°, γ = 90.00°
Last column: nearest neighbours and their distance in Å.
Space group Im-3m (No. 229)
Symmetry-distinct sites (fractional):
Mg  0.2500  0.2500  0.2500 (multiplicity 8)  2 Pb 2.91
Pb  0.0000  0.0000  0.0000 (multiplicity 2)  8 Mg 2.91

Output
magnetic moment = 0.000 μB/f.u.
calculated volume = 304.3 Å³/cell
ρ = 3.3 Mg/m³



N(E_F), record by record: 6.545 2.515 6.852 4.336 1.922 5.145 1.518 15.496 2.807 4.835 6.512 5.456 1.550 24.177 4.671 1.234 44.379 1.862 1.795 6.481 states/eV per cell
E_tot, record by record: -37.306 -12.645 -38.137 -22.257 -12.825 -34.921 -9.316 -83.645 -19.588 -39.150 -39.274 -40.178 -9.375 -178.260 -29.217 -9.535 -314.518 -11.509 -9.232 -18.514 eV for the cell shown